(1)
First-principles (GGA-PBE) data for a relaxed Ba2PrDySe4 crystal, as listed in Alexandria via LeMat-Bulk.

- magnetization (μB per formula unit) = 0.00
- final energy (eV/cell) = -42.31
- energy relative to the elements, uncorrected (eV/atom) = -1.893
- space group = No. 10

The structure in POSCAR format:
```
Ba2PrDySe4
1.0
4.357 0.000 0.000
0.000 7.544 0.130
0.000 -2.642 7.367
Ba Dy Se Pr
2 1 4 1
Cartesian
0.000 2.451 3.748
2.179 -1.321 3.684
0.000 0.000 0.000
2.179 1.170 1.617
2.179 3.733 5.880
0.000 5.069 1.720
0.000 -0.166 5.776
2.179 3.772 0.065
```

=====

(2)
First-principles (GGA-PBE) data for a relaxed Ba3Pr3DyTe8 crystal, as listed in Alexandria via LeMat-Bulk.

- magnetization (μB per formula unit) = 0.00
- final energy (eV/cell) = -73.41
- energy relative to the elements, uncorrected (eV/atom) = -1.571
- space group = No. 12

The structure in POSCAR format:
```
Ba3Pr3DyTe8
1.0
-2.047 7.725 4.592
-2.093 -8.205 3.628
9.275 2.653 -0.333
Ba Dy Pr Te
3 1 3 8
Cartesian
-2.070 -0.240 4.110
-1.047 -4.102 1.814
0.000 0.000 0.000
4.638 1.327 -0.167
3.591 -2.776 1.647
3.614 5.189 2.129
2.568 1.087 3.943
2.046 2.562 1.130
-0.066 2.317 5.326
0.924 -1.514 2.961
4.134 -4.330 4.413
4.211 3.687 4.926
1.001 6.503 3.474
3.089 -0.388 6.757
5.201 -0.144 2.561
```

=====

(3)
First-principles (GGA-PBE) data for a relaxed Ba3PrDy3Te8 crystal, as listed in Alexandria via LeMat-Bulk.

- magnetization (μB per formula unit) = 0.00
- final energy (eV/cell) = -72.58
- energy relative to the elements, uncorrected (eV/atom) = -1.539
- space group = No. 166

The structure in POSCAR format:
```
Ba3PrDy3Te8
1.0
9.043 0.002 0.000
-4.520 7.827 -0.028
-0.001 -5.187 7.979
Te Ba Dy Pr
8 3 3 1
Cartesian
0.000 0.132 5.742
2.355 -1.241 2.222
2.168 3.883 5.730
4.522 2.510 2.210
0.000 2.619 2.254
-2.164 3.881 5.730
4.522 0.024 5.698
6.687 -1.239 2.222
-2.260 3.914 -0.014
0.000 0.000 0.000
2.261 3.914 -0.014
2.261 1.321 3.976
4.521 -2.593 3.990
-2.260 1.320 3.976
0.000 -2.593 3.990
```

=====

(4)
First-principles (GGA-PBE) data for a relaxed Ba3PrDy2Te6 crystal, as listed in Alexandria via LeMat-Bulk.

- magnetization (μB per formula unit) = 0.00
- final energy (eV/cell) = -57.08
- energy relative to the elements, uncorrected (eV/atom) = -1.540
- space group = No. 12

The structure in POSCAR format:
```
Ba3PrDy2Te6
1.0
-3.331 5.572 4.661
0.851 -7.471 2.707
7.896 2.472 0.397
Te Ba Dy Pr
6 3 2 1
Cartesian
-0.103 -0.850 5.457
1.844 -2.155 1.556
0.412 2.312 2.225
3.571 2.728 6.210
5.519 1.424 2.308
5.004 -1.738 5.541
1.298 4.684 4.541
2.708 0.287 3.883
4.118 -4.110 3.224
-0.537 -3.140 3.356
-1.943 1.242 4.012
0.000 0.000 0.000
```

=====

Q: magnetization of number 3 (Ba3PrDy3Te8)?
A: 0.00 μB per formula unit